Below is crystalline K2LiHAu at its relaxed geometry, with properties calculated at the PBE level.

Lattice parameters (Å, degrees): 5.607 5.607 4.114 90.00 90.00 90.00
Space group P4/mmm (No. 123)
Unique sites:
K1 0.000 0.500 0.000 (multiplicity 2)
Li1 0.000 0.000 0.500 (multiplicity 1)
H1 0.000 0.000 0.000 (multiplicity 1)
Au1 0.500 0.500 0.500 (multiplicity 1)

Calculated values
The energy is -2.272 eV per atom. Its size of the total moment is 0.68 μB per formula unit. The density of states at the Fermi level is 1.64 states/eV per cell.